Density functional theory data (GGA+U) for a relaxed structure of ZnCrO2.

Structure (extended XYZ):
```
16
Lattice="-2.3053 1.5627 -1.1167 -5.3169 -5.1906 2.1986 -2.8545 3.4658 7.2202" Properties=species:S:1:pos:R:3 pbc="T T T"
O -3.9497 1.8385 3.9556
O -3.6486 -1.1725 3.0952
Cr -7.7677 -0.6426 4.7138
Zn -3.7566 -0.5081 0.2223
O -7.2164 -1.2613 6.7728
Cr -4.9154 1.3299 5.6735
O -6.3949 -1.9563 4.0726
O -5.5263 3.3202 5.7168
Zn -6.4070 -3.9353 3.3191
Zn -6.5856 0.3877 7.8091
O -4.8182 -3.4392 2.3123
Cr -5.4290 -1.4481 2.3554
Zn -3.9430 3.8186 4.7013
Cr -2.5762 0.5253 3.3135
O -3.1291 1.1443 1.2540
O -6.6956 1.0542 4.9326
```

Final energy in eV/cell: -96.05
Crystal system: triclinic
D(E_F) in states/eV per atom: 0.154
M_tot in μB/atom: 0.859